Record 1
# BaSr3Pd, relaxed, DFT PBE
# - E_tot (eV/atom) = -2.7265
# - energy above the most stable polymorph in this dataset (meV/atom) = 3
data_BaSr3Pd
_cell_length_a 8.611
_cell_length_b 15.149
_cell_length_c 7.162
_cell_angle_alpha 90.00
_cell_angle_beta 90.00
_cell_angle_gamma 90.00
_space_group_name_H-M_alt 'C m c 21'
_space_group_IT_number 36
loop_
_space_group_symop_operation_xyz
'x,y,z'
'-x,-y,z+1/2'
'-x,y,z'
'x,-y,z+1/2'
'x+1/2,y+1/2,z'
'-x+1/2,-y+1/2,z+1/2'
'-x+1/2,y+1/2,z'
'x+1/2,-y+1/2,z+1/2'
loop_
_atom_site_label
_atom_site_fract_x
_atom_site_fract_y
_atom_site_fract_z
Ba1 0.000 0.082 0.000
Sr1 0.000 0.417 0.529
Sr2 0.247 0.330 0.013
Pd1 0.000 0.251 0.758

=====

Record 2
# HfTlCoIr, relaxed, DFT PBE
# - total moment (μB per formula unit) = 1.045
# - E_tot (eV/atom) = -7.2476
# - energy above the most stable polymorph in this dataset (meV/atom) = 0
data_HfTlCoIr
_cell_length_a 6.460
_cell_length_b 6.460
_cell_length_c 6.460
_cell_angle_alpha 90.00
_cell_angle_beta 90.00
_cell_angle_gamma 90.00
_space_group_name_H-M_alt 'F -4 3 m'
_space_group_IT_number 216
_space_group_name_Hall 'F -4 2 3'
loop_
_atom_site_label
_atom_site_fract_x
_atom_site_fract_y
_atom_site_fract_z
Hf1 0.000 0.000 0.000
Tl1 0.000 0.000 0.500
Co1 0.250 0.250 0.750
Ir1 0.250 0.250 0.250

=====

Record 3
# CsNaTcS3, relaxed, DFT PBE
# - total moment (μB per formula unit) = 2.812
# - E_tot (eV/atom) = -4.7683
data_CsNaTcS3
_cell_length_a 15.525
_cell_length_b 3.804
_cell_length_c 10.536
_cell_angle_alpha 90.00
_cell_angle_beta 90.00
_cell_angle_gamma 90.00
_space_group_name_H-M_alt 'P n m a'
_space_group_IT_number 62
loop_
_space_group_symop_operation_xyz
'x,y,z'
'-x,-y,-z'
'-x+1/2,-y,z+1/2'
'x+1/2,y,-z+1/2'
'x+1/2,-y+1/2,-z+1/2'
'-x+1/2,y+1/2,z+1/2'
'-x,y+1/2,-z'
'x,-y+1/2,z'
loop_
_atom_site_label
_atom_site_fract_x
_atom_site_fract_y
_atom_site_fract_z
Cs1 0.248 0.250 0.069
Na1 0.034 0.750 0.091
Tc1 0.017 0.250 0.350
S1 0.071 0.250 0.568
S2 0.075 0.750 0.834
S3 0.118 0.750 0.302